DFT (PBE) results for Mg7Cd2 after structural relaxation.

abc: 5.5234 5.5234 7.6686
angles: 90.00 90.00 120.00
With the nearest neighbours (Å) after each atom.
Positions (direct):
Mg 0.0000 0.0000 0.0000  6 Mg 3.14, 6 Cd 3.19
Mg 0.0000 0.3346 0.6693  2 Cd 3.13, 10 Mg 3.14-3.20
Mg 0.0000 0.6654 0.3307  2 Cd 3.13, 10 Mg 3.14-3.20
Mg 0.3346 0.0000 0.6693  2 Cd 3.13, 10 Mg 3.14-3.20
Mg 0.3346 0.3346 0.3307  2 Cd 3.13, 10 Mg 3.14-3.20
Mg 0.6654 0.0000 0.3307  2 Cd 3.13, 10 Mg 3.14-3.20
Mg 0.6654 0.6654 0.6693  2 Cd 3.13, 10 Mg 3.14-3.20
Cd 0.3333 0.6667 0.0000  9 Mg 3.13-3.19, 3 Cd 3.19
Cd 0.6667 0.3333 0.0000  9 Mg 3.13-3.19, 3 Cd 3.19

Values from the calculation:
symmetry: P-31m, No. 162
formation energy from the elements: -0.028 eV/atom



DFT (PBE) results for Al2AgPb after structural relaxation.

abc: 4.3033 4.3033 9.1912
angles: 90.00 90.00 90.00
With the nearest neighbours (Å) after each atom.
Positions (direct):
Al 0.0000 0.5000 0.2500  4 Al 3.04, 4 Pb 3.15, 4 Ag 3.15
Al 0.0000 0.5000 0.7500  4 Al 3.04, 4 Pb 3.15, 4 Ag 3.15
Al 0.5000 0.0000 0.2500  4 Al 3.04, 4 Pb 3.15, 4 Ag 3.15
Al 0.5000 0.0000 0.7500  4 Al 3.04, 4 Pb 3.15, 4 Ag 3.15
Ag 0.0000 0.0000 0.0000  4 Pb 3.04, 8 Al 3.15
Ag 0.5000 0.5000 0.5000  4 Pb 3.04, 8 Al 3.15
Pb 0.0000 0.0000 0.5000  4 Ag 3.04, 8 Al 3.15
Pb 0.5000 0.5000 0.0000  4 Ag 3.04, 8 Al 3.15

Values from the calculation:
symmetry: I4/mmm, No. 139
formation energy from the elements: 0.247 eV/atom



DFT (PBE) results for PrHoMgPd after structural relaxation.

abc: 7.3933 7.3933 7.3933
angles: 90.00 90.00 90.00
With the nearest neighbours (Å) after each atom.
Positions (direct):
Pr 0.0000 0.0000 0.0000  4 Mg 3.20, 4 Pd 3.20
Pr 0.0000 0.5000 0.5000  4 Mg 3.20, 4 Pd 3.20
Pr 0.5000 0.0000 0.5000  4 Mg 3.20, 4 Pd 3.20
Pr 0.5000 0.5000 0.0000  4 Mg 3.20, 4 Pd 3.20
Ho 0.0000 0.0000 0.5000  4 Pd 3.20, 4 Mg 3.20
Ho 0.0000 0.5000 0.0000  4 Pd 3.20, 4 Mg 3.20
Ho 0.5000 0.0000 0.0000  4 Pd 3.20, 4 Mg 3.20
Ho 0.5000 0.5000 0.5000  4 Pd 3.20, 4 Mg 3.20
Mg 0.2500 0.2500 0.2500  4 Pr 3.20, 4 Ho 3.20
Mg 0.2500 0.7500 0.7500  4 Pr 3.20, 4 Ho 3.20
Mg 0.7500 0.2500 0.7500  4 Pr 3.20, 4 Ho 3.20
Mg 0.7500 0.7500 0.2500  4 Pr 3.20, 4 Ho 3.20
Pd 0.2500 0.2500 0.7500  4 Pr 3.20, 4 Ho 3.20
Pd 0.2500 0.7500 0.2500  4 Pr 3.20, 4 Ho 3.20
Pd 0.7500 0.2500 0.2500  4 Pr 3.20, 4 Ho 3.20
Pd 0.7500 0.7500 0.7500  4 Pr 3.20, 4 Ho 3.20

Values from the calculation:
symmetry: F-43m, No. 216
formation energy from the elements: -0.350 eV/atom



DFT (PBE) results for ZrGa3Au after structural relaxation.

abc: 6.5677 6.5677 8.8804
angles: 90.00 90.00 106.17
With the nearest neighbours (Å) after each atom.
Positions (direct):
Zr 0.1319 0.8681 0.7500  6 Ga 2.85-3.04
Zr 0.3631 0.6369 0.2500  8 Ga 2.98-3.08, 4 Au 3.20
Zr 0.6369 0.3631 0.7500  8 Ga 2.98-3.08, 4 Au 3.20
Zr 0.8681 0.1319 0.2500  6 Ga 2.85-3.04
Ga 0.1068 0.8932 0.0915  2 Au 2.61, 4 Ga 2.77-2.92, 1 Zr 2.87
Ga 0.1068 0.8932 0.4085  2 Au 2.61, 4 Ga 2.77-2.92, 1 Zr 2.87
Ga 0.2038 0.4596 0.7500  3 Ga 2.60-2.66, 2 Au 2.64, 1 Zr 2.85
Ga 0.3252 0.3252 0.0000  3 Ga 2.60-2.76, 2 Au 2.69
Ga 0.3252 0.3252 0.5000  3 Ga 2.60-2.76, 2 Au 2.69
Ga 0.4596 0.2038 0.2500  3 Ga 2.60-2.66, 2 Au 2.64, 1 Zr 2.85
Ga 0.5404 0.7962 0.7500  3 Ga 2.60-2.66, 2 Au 2.64, 1 Zr 2.85
Ga 0.6748 0.6748 0.0000  3 Ga 2.60-2.76, 2 Au 2.69
Ga 0.6748 0.6748 0.5000  3 Ga 2.60-2.76, 2 Au 2.69
Ga 0.7962 0.5404 0.2500  3 Ga 2.60-2.66, 2 Au 2.64, 1 Zr 2.85
Ga 0.8932 0.1068 0.5915  2 Au 2.61, 4 Ga 2.77-2.92, 1 Zr 2.87
Ga 0.8932 0.1068 0.9085  2 Au 2.61, 4 Ga 2.77-2.92, 1 Zr 2.87
Au 0.0000 0.5000 0.0000  6 Ga 2.61-2.69
Au 0.0000 0.5000 0.5000  6 Ga 2.61-2.69
Au 0.5000 0.0000 0.0000  6 Ga 2.61-2.69
Au 0.5000 0.0000 0.5000  6 Ga 2.61-2.69

Values from the calculation:
symmetry: Cmcm, No. 63
formation energy from the elements: -0.275 eV/atom



DFT (PBE) results for Ac5Sn2Ir after structural relaxation.

abc: 10.0973 9.0082 6.3961
angles: 79.95 61.46 38.59
With the nearest neighbours (Å) after each atom.
Positions (direct):
Ac 0.0000 0.0000 0.0000  2 Ir 3.17, 2 Sn 3.31
Ac 0.1994 0.5299 0.4701  1 Ir 2.93
Ac 0.4701 0.8006 0.1994  1 Ir 2.93
Ac 0.5299 0.1994 0.8006  1 Ir 2.93
Ac 0.8006 0.4701 0.5299  1 Ir 2.93
Sn 0.1963 0.1963 0.8037  3 Ac 3.31-3.38, 2 Sn 3.65
Sn 0.8037 0.8037 0.1963  3 Ac 3.31-3.38, 2 Sn 3.65
Ir 0.5000 0.5000 0.5000  6 Ac 2.93-3.17

Values from the calculation:
symmetry: Fmmm, No. 69
formation energy from the elements: -0.400 eV/atom



DFT (PBE) results for TlW3C after structural relaxation.

abc: 4.2488 4.2488 4.2488
angles: 90.00 90.00 90.00
With the nearest neighbours (Å) after each atom.
Positions (direct):
Tl 0.0000 0.0000 0.0000  12 W 3.00
W 0.0000 0.5000 0.5000  2 C 2.12
W 0.5000 0.0000 0.5000  2 C 2.12
W 0.5000 0.5000 0.0000  2 C 2.12
C 0.5000 0.5000 0.5000  6 W 2.12

Values from the calculation:
symmetry: Pm-3m, No. 221
formation energy from the elements: 0.645 eV/atom



DFT (PBE) results for CuTe2NO after structural relaxation.

abc: 4.6911 4.6911 3.7491
angles: 90.00 90.00 90.00
With the nearest neighbours (Å) after each atom.
Positions (direct):
Cu 0.0000 0.0000 0.0000  8 Te 3.00, 4 N 3.32
Te 0.0000 0.5000 0.5000  2 O 2.35
Te 0.5000 0.0000 0.5000  2 O 2.35
N 0.5000 0.5000 0.0000  2 O 1.87
O 0.5000 0.5000 0.5000  2 N 1.87

Values from the calculation:
symmetry: P4/mmm, No. 123
formation energy (no corrections): 6.010 eV per formula unit



DFT (PBE) results for Ho3Ag3TeS8 after structural relaxation.

abc: 7.7731 7.7731 7.7974
angles: 118.69 118.69 61.44
With the nearest neighbours (Å) after each atom.
Positions (direct):
Ho 0.0000 0.0000 0.0000  6 S 2.73-2.75
Ho 0.0000 0.5000 0.5000  6 S 2.73-2.75
Ho 0.5000 0.0000 0.5000  6 S 2.73-2.75
Ag 0.0000 0.5000 0.0000  6 S 2.80-2.84
Ag 0.5000 0.0000 0.0000  6 S 2.80-2.84
Ag 0.5000 0.5000 0.5000  6 S 2.82
Te 0.5000 0.5000 0.0000  6 S 2.67
S 0.2454 0.2454 0.2561  3 Ho 2.73, 3 Ag 2.82-2.84
S 0.2543 0.7407 0.7608  1 Te 2.67, 2 Ho 2.75, 2 Ag 2.80-2.82
S 0.2593 0.2593 0.7528  1 Te 2.67, 2 Ho 2.75, 2 Ag 2.82
S 0.2593 0.7457 0.2392  1 Te 2.67, 2 Ho 2.75, 2 Ag 2.80-2.82
S 0.7407 0.2543 0.7608  1 Te 2.67, 2 Ho 2.75, 2 Ag 2.80-2.82
S 0.7407 0.7407 0.2472  1 Te 2.67, 2 Ho 2.75, 2 Ag 2.82
S 0.7457 0.2593 0.2392  1 Te 2.67, 2 Ho 2.75, 2 Ag 2.80-2.82
S 0.7546 0.7546 0.7439  3 Ho 2.73, 3 Ag 2.82-2.84

Values from the calculation:
symmetry: C2/m, No. 12
formation energy (no corrections): -15.151 eV per formula unit



DFT (PBE) results for PAuN2 after structural relaxation.

abc: 2.8038 2.8038 18.4987
angles: 90.00 90.00 120.00
With the nearest neighbours (Å) after each atom.
Positions (direct):
P 0.0000 0.0000 0.0000  6 N 1.87
P 0.3333 0.6667 0.6667  6 N 1.87
P 0.6667 0.3333 0.3333  6 N 1.87
Au 0.0000 0.0000 0.5000  2 N 2.16
Au 0.3333 0.6667 0.1667  2 N 2.16
Au 0.6667 0.3333 0.8333  2 N 2.16
N 0.0000 0.0000 0.3834  3 P 1.87
N 0.0000 0.0000 0.6166  3 P 1.87
N 0.3333 0.6667 0.0501  3 P 1.87
N 0.3333 0.6667 0.2833  3 P 1.87
N 0.6667 0.3333 0.7167  3 P 1.87
N 0.6667 0.3333 0.9499  3 P 1.87

Values from the calculation:
symmetry: R-3m, No. 166
formation energy (no corrections): 0.692 eV per formula unit



DFT (PBE) results for Rb2HfHCl6 after structural relaxation.

abc: 7.1578 7.1578 7.1578
angles: 113.80 113.80 101.12
With the nearest neighbours (Å) after each atom.
Positions (direct):
Rb 0.2500 0.7500 0.5000  12 Cl 3.59-3.91
Rb 0.7500 0.2500 0.5000  12 Cl 3.59-3.91
Hf 0.0000 0.0000 0.0000  6 Cl 2.40-2.48
H 0.5000 0.5000 0.0000  2 Cl 2.15
Cl 0.2243 0.2243 0.4486  1 Hf 2.48
Cl 0.2243 0.7757 0.0000  1 Hf 2.48
Cl 0.2634 0.2634 0.0000  1 H 2.15, 1 Hf 2.40
Cl 0.7366 0.7366 0.0000  1 H 2.15, 1 Hf 2.40
Cl 0.7757 0.2243 0.0000  1 Hf 2.48
Cl 0.7757 0.7757 0.5514  1 Hf 2.48

Values from the calculation:
uncorrected energy: -41.42 eV/f.u.
symmetry: I4/mmm, No. 139